Record 1
# CeTmNb4

An optimized crystal structure of CeTmNb4 (GGA-PBE, Alexandria).

CIF file:
```
data_CeTmNb4
_chemical_formula_sum 'Ce4 Tm4 Nb16'
_cell_length_a 8.073
_cell_length_b 8.073
_cell_length_c 8.073
_cell_angle_alpha 90.00
_cell_angle_beta 90.00
_cell_angle_gamma 90.00
_space_group_name_H-M_alt 'F -4 3 m'
_space_group_IT_number 216
_space_group_name_Hall 'F -4 2 3'
loop_
_atom_site_label
_atom_site_type_symbol
_atom_site_fract_x
_atom_site_fract_y
_atom_site_fract_z
Ce1 Ce 0.000 0.000 0.000
Tm1 Tm 0.250 0.250 0.250
Nb1 Nb 0.125 0.125 0.625
```

Properties
The total magnetization comes out at 0.00 μB per formula unit. The energy of formation is 16 kJ per mole of atoms. The density of states at the Fermi level is 1.435 states/eV/atom.


Record 2
# ZnReW

An optimized crystal structure of ZnReW (GGA-PBE, Alexandria).

CIF file:
```
data_ZnReW
_chemical_formula_sum 'Zn2 Re2 W2'
_cell_length_a 2.706
_cell_length_b 4.124
_cell_length_c 8.111
_cell_angle_alpha 90.00
_cell_angle_beta 90.00
_cell_angle_gamma 90.00
_space_group_name_H-M_alt 'I m m 2'
_space_group_IT_number 44
loop_
_space_group_symop_operation_xyz
'x,y,z'
'-x,-y,z'
'-x,y,z'
'x,-y,z'
'x+1/2,y+1/2,z+1/2'
'-x+1/2,-y+1/2,z+1/2'
'-x+1/2,y+1/2,z+1/2'
'x+1/2,-y+1/2,z+1/2'
loop_
_atom_site_label
_atom_site_type_symbol
_atom_site_fract_x
_atom_site_fract_y
_atom_site_fract_z
Zn1 Zn 0.000 0.000 0.000
Re1 Re 0.000 0.000 0.665
W1 W 0.000 0.000 0.333
```

Properties
The total magnetization comes out at 0.00 μB per formula unit. The value obtained for the excess energy over the best structure of this formula in the dataset is 6.2 kJ per mole of atoms. The energy of formation is 22 kJ per mole of atoms. The density of states at the Fermi level is 0.604 states/eV/atom.


Record 3
# CsAg2Pd

An optimized crystal structure of CsAg2Pd (GGA-PBE, Alexandria).

CIF file:
```
data_CsAg2Pd
_chemical_formula_sum 'Cs4 Ag8 Pd4'
_cell_length_a 7.466
_cell_length_b 7.466
_cell_length_c 7.466
_cell_angle_alpha 90.00
_cell_angle_beta 90.00
_cell_angle_gamma 90.00
_space_group_name_H-M_alt 'F m -3 m'
_space_group_IT_number 225
_space_group_name_Hall '-F 4 2 3'
loop_
_atom_site_label
_atom_site_type_symbol
_atom_site_fract_x
_atom_site_fract_y
_atom_site_fract_z
Cs1 Cs 0.000 0.000 0.000
Ag1 Ag 0.250 0.250 0.250
Pd1 Pd 0.000 0.000 0.500
```

Properties
The total magnetization comes out at 0.00 μB per formula unit. The value obtained for the excess energy over the best structure of this formula in the dataset is 57.2 kJ per mole of atoms. The energy of formation is 56 kJ per mole of atoms. The density of states at the Fermi level is 0.651 states/eV/atom.


Record 4
# ZnCdRh2

An optimized crystal structure of ZnCdRh2 (GGA-PBE, Alexandria).

CIF file:
```
data_ZnCdRh2
_chemical_formula_sum 'Zn1 Cd1 Rh2'
_cell_length_a 2.827
_cell_length_b 3.842
_cell_length_c 5.765
_cell_angle_alpha 90.00
_cell_angle_beta 90.55
_cell_angle_gamma 90.00
_space_group_name_H-M_alt 'P 1 m 1'
_space_group_IT_number 6
loop_
_space_group_symop_operation_xyz
'x,y,z'
'x,-y,z'
loop_
_atom_site_label
_atom_site_type_symbol
_atom_site_fract_x
_atom_site_fract_y
_atom_site_fract_z
Zn1 Zn 0.000 0.000 0.000
Cd1 Cd 0.504 0.500 0.714
Rh1 Rh 0.002 0.000 0.452
Rh2 Rh 0.499 0.500 0.210
```

Properties
The total magnetization comes out at 0.00 μB per formula unit. The energy of formation is -7 kJ per mole of atoms. The density of states at the Fermi level is 1.192 states/eV/atom.


Record 5
# AlAgHRh2

An optimized crystal structure of AlAgHRh2 (GGA-PBE, Alexandria).

CIF file:
```
data_AlAgHRh2
_chemical_formula_sum 'Al1 Ag1 H1 Rh2'
_cell_length_a 4.001
_cell_length_b 4.001
_cell_length_c 3.892
_cell_angle_alpha 90.00
_cell_angle_beta 90.00
_cell_angle_gamma 90.00
_space_group_name_H-M_alt 'P 4/m m m'
_space_group_IT_number 123
_space_group_name_Hall '-P 4 2'
loop_
_atom_site_label
_atom_site_type_symbol
_atom_site_fract_x
_atom_site_fract_y
_atom_site_fract_z
Al1 Al 0.000 0.000 0.000
Ag1 Ag 0.500 0.500 0.000
H1 H 0.500 0.500 0.500
Rh1 Rh 0.000 0.500 0.500
```

Properties
The total magnetization comes out at 0.00 μB per formula unit. The raw total energy comes out at -0.3785 Ry/atom. The density of states at the Fermi level is 0.900 states/eV/atom.


Record 6
# HfZnSiW2

An optimized crystal structure of HfZnSiW2 (GGA-PBE, Alexandria).

CIF file:
```
data_HfZnSiW2
_chemical_formula_sum 'Hf1 Zn1 Si1 W2'
_cell_length_a 4.614
_cell_length_b 4.614
_cell_length_c 4.296
_cell_angle_alpha 90.00
_cell_angle_beta 90.00
_cell_angle_gamma 90.00
_space_group_name_H-M_alt 'P 4/m m m'
_space_group_IT_number 123
_space_group_name_Hall '-P 4 2'
loop_
_atom_site_label
_atom_site_type_symbol
_atom_site_fract_x
_atom_site_fract_y
_atom_site_fract_z
Hf1 Hf 0.000 0.000 0.000
Zn1 Zn 0.500 0.500 0.000
Si1 Si 0.500 0.500 0.500
W1 W 0.000 0.500 0.500
```

Properties
The total magnetization comes out at 0.00 μB per formula unit. The raw total energy comes out at -0.5663 Ry/atom. The density of states at the Fermi level is 1.002 states/eV/atom.


Record 7
# LiPuCoRu

An optimized crystal structure of LiPuCoRu (GGA-PBE, Alexandria).

CIF file:
```
data_LiPuCoRu
_chemical_formula_sum 'Li4 Pu4 Co4 Ru4'
_cell_length_a 6.203
_cell_length_b 6.203
_cell_length_c 6.203
_cell_angle_alpha 90.00
_cell_angle_beta 90.00
_cell_angle_gamma 90.00
_space_group_name_H-M_alt 'F -4 3 m'
_space_group_IT_number 216
_space_group_name_Hall 'F -4 2 3'
loop_
_atom_site_label
_atom_site_type_symbol
_atom_site_fract_x
_atom_site_fract_y
_atom_site_fract_z
Li1 Li 0.000 0.000 0.000
Pu1 Pu 0.000 0.000 0.500
Co1 Co 0.250 0.250 0.750
Ru1 Ru 0.250 0.250 0.250
```

Properties
The total magnetization comes out at 3.88 μB per formula unit. The energy of formation is -1 kJ per mole of atoms. The density of states at the Fermi level is 1.071 states/eV/atom.


Record 8
# LiTa2Si

An optimized crystal structure of LiTa2Si (GGA-PBE, Alexandria).

CIF file:
```
data_LiTa2Si
_chemical_formula_sum 'Li2 Ta4 Si2'
_cell_length_a 3.810
_cell_length_b 3.810
_cell_length_c 8.577
_cell_angle_alpha 90.00
_cell_angle_beta 90.00
_cell_angle_gamma 90.00
_space_group_name_H-M_alt 'I -4 m 2'
_space_group_IT_number 119
_space_group_name_Hall 'I -4 -2'
loop_
_atom_site_label
_atom_site_type_symbol
_atom_site_fract_x
_atom_site_fract_y
_atom_site_fract_z
Li1 Li 0.000 0.000 0.000
Ta1 Ta 0.000 0.000 0.500
Ta2 Ta 0.000 0.500 0.250
Si1 Si 0.000 0.500 0.750
```

Properties
The total magnetization comes out at 0.00 μB per formula unit. The raw total energy comes out at -0.5679 Ry/atom. The density of states at the Fermi level is 0.905 states/eV/atom.


Record 9
# RbInFe2Cl6

An optimized crystal structure of RbInFe2Cl6 (GGA-PBE, Alexandria).

CIF file:
```
data_RbInFe2Cl6
_chemical_formula_sum 'Rb4 In4 Fe8 Cl24'
_cell_length_a 13.912
_cell_length_b 13.254
_cell_length_c 7.235
_cell_angle_alpha 90.00
_cell_angle_beta 102.28
_cell_angle_gamma 90.00
_space_group_name_H-M_alt 'C 1 2/c 1'
_space_group_IT_number 15
loop_
_space_group_symop_operation_xyz
'x,y,z'
'-x,-y,-z'
'-x,y,-z+1/2'
'x,-y,z+1/2'
'x+1/2,y+1/2,z'
'-x+1/2,-y+1/2,-z'
'-x+1/2,y+1/2,-z+1/2'
'x+1/2,-y+1/2,z+1/2'
loop_
_atom_site_label
_atom_site_type_symbol
_atom_site_fract_x
_atom_site_fract_y
_atom_site_fract_z
Rb1 Rb 0.000 0.181 0.250
In1 In 0.000 0.401 0.750
Fe1 Fe 0.210 0.086 0.760
Cl1 Cl 0.123 0.405 0.174
Cl2 Cl 0.141 0.236 0.664
Cl3 Cl 0.147 0.029 0.017
```

Properties
The total magnetization comes out at 8.00 μB per formula unit. The raw total energy comes out at -0.3051 Ry/atom. The density of states at the Fermi level is 0.974 states/eV/atom.


Record 10
# YNiRh3

An optimized crystal structure of YNiRh3 (GGA-PBE, Alexandria).

CIF file:
```
data_YNiRh3
_chemical_formula_sum 'Y1 Ni1 Rh3'
_cell_length_a 4.868
_cell_length_b 4.868
_cell_length_c 4.868
_cell_angle_alpha 90.00
_cell_angle_beta 90.00
_cell_angle_gamma 90.00
_space_group_name_H-M_alt 'P m -3 m'
_space_group_IT_number 221
_space_group_name_Hall '-P 4 2 3'
loop_
_atom_site_label
_atom_site_type_symbol
_atom_site_fract_x
_atom_site_fract_y
_atom_site_fract_z
Y1 Y 0.000 0.000 0.000
Ni1 Ni 0.500 0.500 0.500
Rh1 Rh 0.000 0.000 0.500
```

Properties
The total magnetization comes out at 2.07 μB per formula unit. The value obtained for the excess energy over the best structure of this formula in the dataset is 127.0 kJ per mole of atoms. The energy of formation is 150 kJ per mole of atoms. The density of states at the Fermi level is 2.221 states/eV/atom.


Record 11
# NbVRuCl2

An optimized crystal structure of NbVRuCl2 (GGA-PBE, Alexandria).

CIF file:
```
data_NbVRuCl2
_chemical_formula_sum 'Nb1 V1 Ru1 Cl2'
_cell_length_a 4.595
_cell_length_b 4.595
_cell_length_c 5.015
_cell_angle_alpha 90.00
_cell_angle_beta 90.00
_cell_angle_gamma 90.00
_space_group_name_H-M_alt 'P 4/m m m'
_space_group_IT_number 123
_space_group_name_Hall '-P 4 2'
loop_
_atom_site_label
_atom_site_type_symbol
_atom_site_fract_x
_atom_site_fract_y
_atom_site_fract_z
Nb1 Nb 0.000 0.000 0.000
V1 V 0.500 0.500 0.000
Ru1 Ru 0.000 0.000 0.500
Cl1 Cl 0.000 0.500 0.500
```

Properties
The total magnetization comes out at 0.38 μB per formula unit. The raw total energy comes out at -0.3852 Ry/atom. The density of states at the Fermi level is 2.273 states/eV/atom.


Record 12
# Sc2PH

An optimized crystal structure of Sc2PH (GGA-PBE, Alexandria).

CIF file:
```
data_Sc2PH
_chemical_formula_sum 'Sc6 P3 H3'
_cell_length_a 3.8843
_cell_length_b 3.8843
_cell_length_c 19.0336
_cell_angle_alpha 90.00
_cell_angle_beta 90.00
_cell_angle_gamma 120.00
_space_group_name_H-M_alt 'R -3 m'
_space_group_IT_number 166
_space_group_name_Hall '-R 3 2"'
loop_
_atom_site_label
_atom_site_type_symbol
_atom_site_fract_x
_atom_site_fract_y
_atom_site_fract_z
Sc1 Sc 0.0000 0.0000 0.1006
P1 P 0.0000 0.0000 0.5000
H1 H 0.0000 0.0000 0.0000
```

Properties
The total magnetization comes out at 0.07 μB per formula unit. The value obtained for the excess energy over the best structure of this formula in the dataset is 14.1 kJ per mole of atoms. The density of states at the Fermi level is 0.870 states/eV/atom.